# 1
A relaxed structure of ZrInSb, computed with PBE-GGA.

a = 3.3643 Å, b = 3.3643 Å, c = 7.5136 Å
α = 90.00°, β = 90.00°, γ = 120.00°
With the nearest neighbours (Å) after each atom.
Space group P3m1 (No. 156)
One atom of each set of equivalent atoms:
Zr 0.0000 0.0000 0.0000 (multiplicity 1)  3 Sb 3.05, 3 In 3.11, 6 Zr 3.36
In 0.6667 0.3333 0.3228 (multiplicity 1)  3 Zr 3.11, 3 Sb 3.35, 6 In 3.36
Sb 0.3333 0.6667 0.6866 (multiplicity 1)  3 Zr 3.05, 3 In 3.35, 6 Sb 3.36

Size of the total moment in μB per formula unit: 0.0
Density of states at the Fermi level in states/eV/cell: 2.920
Formation energy without anion corrections in eV/atom: -0.14
Total energy in eV for the cell shown: -15.83

***

# 2
A relaxed structure of ZrInSb, computed with PBE-GGA.

a = 5.6883 Å, b = 9.6748 Å, c = 10.0745 Å
α = 90.00°, β = 90.00°, γ = 90.00°
With the nearest neighbours (Å) after each atom.
Space group F222 (No. 22)
One atom of each set of equivalent atoms:
Zr 0.0000 0.0000 0.0000 (multiplicity 4)  4 Sb 3.00, 6 In 3.17-3.30
Zr 0.2500 0.2500 0.2500 (multiplicity 4)  4 In 2.99, 6 Sb 3.22-3.27
In 0.0000 0.1720 0.5000 (multiplicity 8)  5 Zr 2.99-3.30, 2 Sb 3.02, 3 In 3.22-3.33
Sb 0.2500 0.0825 0.7500 (multiplicity 8)  5 Zr 3.00-3.27, 2 In 3.02, 3 Sb 3.24-3.26

Size of the total moment in μB per formula unit: 0.0
Density of states at the Fermi level in states/eV/cell: 11.353
Formation energy without anion corrections in eV/atom: -0.39
Total energy in eV for the cell shown: -132.59

***

# 3
A relaxed structure of ZrInSb, computed with PBE-GGA.

a = 3.7327 Å, b = 15.4462 Å, c = 4.9680 Å
α = 90.00°, β = 90.00°, γ = 90.00°
With the nearest neighbours (Å) after each atom.
Space group Cmc2_1 (No. 36)
One atom of each set of equivalent atoms:
Zr 0.0000 0.0805 0.0000 (multiplicity 4)  6 Sb 2.98-3.17, 3 In 3.12-3.29
In 0.0000 0.2538 0.6768 (multiplicity 4)  4 In 3.11, 3 Zr 3.12-3.29, 1 Sb 3.20
Sb 0.0000 0.4298 0.0153 (multiplicity 4)  6 Zr 2.98-3.17, 1 In 3.20, 2 Sb 3.30

Size of the total moment in μB per formula unit: 0.0
Density of states at the Fermi level in states/eV/cell: 4.782
Formation energy without anion corrections in eV/atom: -0.34
Total energy in eV for the cell shown: -65.77

***

# 4
A relaxed structure of ZrIn3Sb, computed with PBE-GGA.

a = 5.6063 Å, b = 5.6063 Å, c = 5.6063 Å
α = 90.00°, β = 90.00°, γ = 90.00°
With the nearest neighbours (Å) after each atom.
Space group Pm-3m (No. 221)
One atom of each set of equivalent atoms:
Zr 0.0000 0.0000 0.0000 (multiplicity 1)  6 In 2.80
In 0.0000 0.0000 0.5000 (multiplicity 3)  2 Zr 2.80
Sb 0.5000 0.5000 0.5000 (multiplicity 1)  12 In 3.96

Size of the total moment in μB per formula unit: 0.0
Density of states at the Fermi level in states/eV/cell: 5.162
Formation energy without anion corrections in eV/atom: 0.67
Total energy in eV for the cell shown: -17.53

***

# 5
A relaxed structure of ZrInSb3, computed with PBE-GGA.

a = 5.5816 Å, b = 5.5816 Å, c = 5.5816 Å
α = 90.00°, β = 90.00°, γ = 90.00°
With the nearest neighbours (Å) after each atom.
Space group Pm-3m (No. 221)
One atom of each set of equivalent atoms:
Zr 0.0000 0.0000 0.0000 (multiplicity 1)  6 Sb 2.79
In 0.5000 0.5000 0.5000 (multiplicity 1)  12 Sb 3.95
Sb 0.0000 0.0000 0.5000 (multiplicity 3)  2 Zr 2.79

Size of the total moment in μB per formula unit: 0.0
Density of states at the Fermi level in states/eV/cell: 5.759
Formation energy without anion corrections in eV/atom: 0.15
Total energy in eV for the cell shown: -22.90

***

# 6
A relaxed structure of ZrInSb, computed with PBE-GGA.

a = 4.0992 Å, b = 4.0992 Å, c = 8.6737 Å
α = 90.00°, β = 90.00°, γ = 90.00°
With the nearest neighbours (Å) after each atom.
Space group P4/nmm (No. 129, origin choice 2)
One atom of each set of equivalent atoms:
Zr 0.2500 0.2500 0.2172 (multiplicity 2)  5 Sb 2.98-3.09, 4 In 3.20
In 0.2500 0.7500 0.5000 (multiplicity 2)  4 In 2.90, 4 Zr 3.20
Sb 0.2500 0.2500 0.8612 (multiplicity 2)  5 Zr 2.98-3.09

Size of the total moment in μB per formula unit: 0.0
Density of states at the Fermi level in states/eV/cell: 4.419
Formation energy without anion corrections in eV/atom: -0.36
Total energy in eV for the cell shown: -33.00

***

# 7
A relaxed structure of Zr6In3Sb, computed with PBE-GGA.

a = 7.8522 Å, b = 7.3089 Å, c = 11.0520 Å
α = 90.00°, β = 131.52°, γ = 90.00°
With the nearest neighbours (Å) after each atom.
Space group P2_1/c (No. 14)
One atom of each set of equivalent atoms:
Zr 0.0481 0.1494 0.3086 (multiplicity 4)  4 Zr 2.97-3.29, 2 In 3.05-3.27
Zr 0.2766 0.1762 0.7062 (multiplicity 4)  1 Sb 2.78, 4 In 2.95-3.07, 2 Zr 2.97-3.02
Zr 0.4112 0.6344 0.8617 (multiplicity 4)  1 Sb 2.92, 4 Zr 3.02-3.25, 4 In 3.09-3.20
In 0.0000 0.0000 0.0000 (multiplicity 2)  2 In 2.93, 4 Zr 2.99-3.20
In 0.2442 0.6651 0.0488 (multiplicity 4)  1 In 2.93, 8 Zr 2.95-3.27
Sb 0.5000 0.0000 0.0000 (multiplicity 2)  4 Zr 2.78-2.92

Size of the total moment in μB per formula unit: 0.0
Density of states at the Fermi level in states/eV/cell: 19.841
Formation energy without anion corrections in eV/atom: -0.13
Total energy in eV for the cell shown: -129.79

***

# 8
A relaxed structure of ZrInSb3, computed with PBE-GGA.

a = 5.4587 Å, b = 5.4587 Å, c = 5.4587 Å
α = 90.00°, β = 90.00°, γ = 90.00°
With the nearest neighbours (Å) after each atom.
Space group Pm-3m (No. 221)
One atom of each set of equivalent atoms:
Zr 0.0000 0.0000 0.0000 (multiplicity 1)  12 Sb 3.86
In 0.5000 0.5000 0.5000 (multiplicity 1)  6 Sb 2.73
Sb 0.0000 0.5000 0.5000 (multiplicity 3)  2 In 2.73

Size of the total moment in μB per formula unit: 0.0
Density of states at the Fermi level in states/eV/cell: 5.227
Formation energy without anion corrections in eV/atom: 0.95
Total energy in eV for the cell shown: -18.91

***

# 9
A relaxed structure of ZrInSb, computed with PBE-GGA.

a = 3.7638 Å, b = 3.7638 Å, c = 9.9809 Å
α = 90.00°, β = 90.00°, γ = 90.00°
With the nearest neighbours (Å) after each atom.
Space group I4mm (No. 107)
One atom of each set of equivalent atoms:
Zr 0.0000 0.0000 0.0000 (multiplicity 2)  4 Sb 3.02, 5 In 3.18-3.25
In 0.0000 0.0000 0.6740 (multiplicity 2)  5 Sb 3.17-3.23, 5 Zr 3.18-3.25
Sb 0.0000 0.0000 0.3565 (multiplicity 2)  4 Zr 3.02, 5 In 3.17-3.23

Size of the total moment in μB per formula unit: 0.0
Density of states at the Fermi level in states/eV/cell: 5.861
Formation energy without anion corrections in eV/atom: -0.30
Total energy in eV for the cell shown: -32.62

***

# 10
A relaxed structure of Zr2InSb2, computed with PBE-GGA.

a = 4.7869 Å, b = 4.7869 Å, c = 12.2582 Å
α = 90.00°, β = 90.00°, γ = 90.00°
With the nearest neighbours (Å) after each atom.
Space group I4/mmm (No. 139)
One atom of each set of equivalent atoms:
Zr 0.0000 0.5000 0.2500 (multiplicity 4)  4 Sb 2.89
In 0.0000 0.0000 0.0000 (multiplicity 2)  8 Sb 3.68, 8 Zr 3.89
Sb 0.0000 0.0000 0.3816 (multiplicity 4)  4 Zr 2.89, 1 Sb 2.90

Size of the total moment in μB per formula unit: 0.0
Density of states at the Fermi level in states/eV/cell: 5.351
Formation energy without anion corrections in eV/atom: -0.17
Total energy in eV for the cell shown: -57.87

***

# 11
A relaxed structure of Zr6InSb3, computed with PBE-GGA.

a = 9.3820 Å, b = 14.2912 Å, c = 7.3197 Å
α = 90.00°, β = 90.00°, γ = 90.00°
With the nearest neighbours (Å) after each atom.
Space group Cmc2_1 (No. 36)
One atom of each set of equivalent atoms:
Zr 0.0000 0.0425 0.0000 (multiplicity 4)  1 In 2.99, 4 Sb 3.05-3.08, 2 Zr 3.31
Zr 0.0000 0.2624 0.2311 (multiplicity 4)  3 Sb 2.93-2.98, 6 Zr 3.01-3.14
Zr 0.1933 0.4381 0.1637 (multiplicity 8)  4 Sb 2.85-3.00, 1 Zr 3.14
Zr 0.2412 0.2116 0.9785 (multiplicity 8)  3 Sb 2.93-3.11, 3 Zr 3.01-3.20, 2 In 3.12-3.28
In 0.0000 0.1798 0.6912 (multiplicity 4)  7 Zr 2.99-3.34
Sb 0.0000 0.4241 0.4886 (multiplicity 4)  7 Zr 2.97-3.11
Sb 0.1905 0.1053 0.3139 (multiplicity 8)  7 Zr 2.85-3.08

Size of the total moment in μB per formula unit: 0.0
Density of states at the Fermi level in states/eV/cell: 31.159
Formation energy without anion corrections in eV/atom: -0.39
Total energy in eV for the cell shown: -281.02

***

# 12
A relaxed structure of ZrIn3Sb, computed with PBE-GGA.

a = 5.5542 Å, b = 5.5542 Å, c = 5.5542 Å
α = 90.00°, β = 90.00°, γ = 90.00°
With the nearest neighbours (Å) after each atom.
Space group Pm-3m (No. 221)
One atom of each set of equivalent atoms:
Zr 0.0000 0.0000 0.0000 (multiplicity 1)  12 In 3.93
In 0.0000 0.5000 0.5000 (multiplicity 3)  2 Sb 2.78
Sb 0.5000 0.5000 0.5000 (multiplicity 1)  6 In 2.78

Size of the total moment in μB per formula unit: 1.7
Density of states at the Fermi level in states/eV/cell: 5.607
Formation energy without anion corrections in eV/atom: 0.95
Total energy in eV for the cell shown: -16.15